This record from Alexandria describes a relaxed Li3MnO2F crystal. The functional is GGA+U.

a b c (Å): 5.3807 5.4487 5.8235
angles (deg): 64.03 85.31 81.92
Last column: nearest neighbours and their distance in Å.
Positions (direct):
1 Li 0.0905 0.4567 0.3118  1 F 1.91, 3 O 1.95-2.05
2 Li 0.3366 0.3244 0.9859  2 O 1.91-1.94, 2 F 1.94-2.05
3 Li 0.3866 0.7242 0.3816  3 O 1.95-2.03
4 Li 0.6134 0.2758 0.6184  3 O 1.95-2.03
5 Li 0.6634 0.6756 0.0141  2 O 1.91-1.94, 2 F 1.94-2.05
6 Li 0.9095 0.5433 0.6882  1 F 1.91, 3 O 1.95-2.05
7 Mn 0.1573 0.0077 0.6982  3 O 2.06-2.12, 1 F 2.14
8 Mn 0.8427 0.9923 0.3018  3 O 2.06-2.12, 1 F 2.14
9 O 0.2026 0.0834 0.3090  3 Li 1.91-2.05, 2 Mn 2.07-2.12
10 O 0.2478 0.3822 0.6487  5 Li 1.94-2.05, 1 Mn 2.06
11 O 0.7522 0.6178 0.3513  5 Li 1.94-2.05, 1 Mn 2.06
12 O 0.7974 0.9166 0.6910  3 Li 1.91-2.05, 2 Mn 2.07-2.12
13 F 0.3014 0.6745 0.0410  3 Li 1.91-2.05
14 F 0.6986 0.3255 0.9590  3 Li 1.91-2.05

Computed properties:
energy	-5.570	eV/atom
magnetization	5.0	μB/f.u.
energy above the most stable polymorph in this dataset	4	meV/atom